# Cd2AgF4, optimized geometry, DFT PBE
# **ΔE to the lowest computed polymorph**: 0.0 meV per atom
# **Volume**: 127 Å³/f.u.
# **Space group**: P-1
# **Uncorrected formation energy**: -1.62 eV/atom
# **Energy**: -3.3619 eV/atom
data_Cd2AgF4
_cell_length_a 7.080
_cell_length_b 7.081
_cell_length_c 7.107
_cell_angle_alpha 119.71
_cell_angle_beta 119.81
_cell_angle_gamma 90.10
_space_group_name_H-M_alt 'P 1'
_space_group_IT_number 1
loop_
_space_group_symop_operation_xyz
'x,y,z'
loop_
_atom_site_label
_atom_site_fract_x
_atom_site_fract_y
_atom_site_fract_z
_atom_site_occupancy
Cd1 0.000 0.000 0.000 1
Cd2 0.000 0.000 0.500 1
Cd3 0.000 0.500 0.000 1
Cd4 0.500 0.000 0.500 1
Ag1 0.374 0.625 0.750 1
Ag2 0.626 0.375 0.250 1
F1 0.200 0.233 0.964 1
F2 0.232 0.764 0.464 1
F3 0.233 0.200 0.464 1
F4 0.236 0.768 0.036 1
F5 0.764 0.232 0.964 1
F6 0.767 0.800 0.536 1
F7 0.768 0.236 0.536 1
F8 0.800 0.767 0.036 1

---

# Cd2AgF, optimized geometry, DFT PBE
# **ΔE to the lowest computed polymorph**: 0.0 meV per atom
# **Volume**: 73 Å³/f.u.
# **Space group**: R-3m
# **Uncorrected formation energy**: -0.71 eV/atom
# **Energy**: -2.3527 eV/atom
data_Cd2AgF
_cell_length_a 8.385
_cell_length_b 8.385
_cell_length_c 8.385
_cell_angle_alpha 22.06
_cell_angle_beta 22.06
_cell_angle_gamma 22.06
_space_group_name_H-M_alt 'P 1'
_space_group_IT_number 1
loop_
_space_group_symop_operation_xyz
'x,y,z'
loop_
_atom_site_label
_atom_site_fract_x
_atom_site_fract_y
_atom_site_fract_z
_atom_site_occupancy
Cd1 0.241 0.241 0.241 1
Cd2 0.759 0.759 0.759 1
Ag1 0.000 0.000 0.000 1
F1 0.500 0.500 0.500 1

---

# CdAgF6, optimized geometry, DFT PBE
# **ΔE to the lowest computed polymorph**: 0.0 meV per atom
# **Volume**: 122 Å³/f.u.
# **Space group**: P-1
# **Uncorrected formation energy**: -1.32 eV/atom
# **Energy**: -3.1911 eV/atom
data_CdAgF6
_cell_length_a 5.244
_cell_length_b 5.318
_cell_length_c 5.797
_cell_angle_alpha 64.43
_cell_angle_beta 63.53
_cell_angle_gamma 61.39
_space_group_name_H-M_alt 'P 1'
_space_group_IT_number 1
loop_
_space_group_symop_operation_xyz
'x,y,z'
loop_
_atom_site_label
_atom_site_fract_x
_atom_site_fract_y
_atom_site_fract_z
_atom_site_occupancy
Cd1 0.000 0.000 0.000 1
Ag1 0.500 0.500 0.500 1
F1 0.119 0.414 0.735 1
F2 0.264 0.893 0.254 1
F3 0.421 0.727 0.737 1
F4 0.579 0.273 0.263 1
F5 0.736 0.107 0.746 1
F6 0.881 0.586 0.265 1

---

# CdAgF6, optimized geometry, DFT PBE
# **ΔE to the lowest computed polymorph**: 31.6 meV per atom
# **Volume**: 123 Å³/f.u.
# **Space group**: C2/m
# **Uncorrected formation energy**: -1.29 eV/atom
# **Energy**: -3.1595 eV/atom
data_CdAgF6
_cell_length_a 5.102
_cell_length_b 5.102
_cell_length_c 5.371
_cell_angle_alpha 96.37
_cell_angle_beta 96.37
_cell_angle_gamma 115.73
_space_group_name_H-M_alt 'P 1'
_space_group_IT_number 1
loop_
_space_group_symop_operation_xyz
'x,y,z'
loop_
_atom_site_label
_atom_site_fract_x
_atom_site_fract_y
_atom_site_fract_z
_atom_site_occupancy
Cd1 0.000 0.000 0.000 1
Ag1 0.500 0.500 0.500 1
F1 0.129 0.436 0.250 1
F2 0.242 0.242 0.707 1
F3 0.436 0.129 0.250 1
F4 0.564 0.871 0.750 1
F5 0.758 0.758 0.293 1
F6 0.871 0.564 0.750 1